# 1
The following is a PBE calculation of In2Ga2Tc after structural relaxation, from the Alexandria database.

```
10
Lattice="6.885 0.000 0.000 0.000 6.885 0.000 0.000 0.000 4.043" Properties=species:S:1:pos:R:3 pbc="T T T"
In 1.164 2.279 0.000
In 2.279 5.722 0.000
In 4.607 1.164 0.000
In 5.722 4.607 0.000
Ga 0.968 4.411 2.022
Ga 2.474 0.968 2.022
Ga 4.411 5.917 2.022
Ga 5.917 2.474 2.022
Tc 0.000 0.000 2.022
Tc 3.443 3.443 2.022
```

Output
- formation enthalpy at 0 K (meV/atom) = 291
- Fermi-level density of states (states/eV/atom) = 0.584
- E (eV per cell) = -40.89


# 2
The following is a PBE calculation of In2GaTc after structural relaxation, from the Alexandria database.

```
4
Lattice="1.473 0.850 11.203 -1.473 0.850 11.203 0.000 -1.700 11.203" Properties=species:S:1:pos:R:3 pbc="T T T"
In 0.000 0.000 2.794
In 0.000 0.000 30.814
Ga 0.000 0.000 16.804
Tc 0.000 0.000 0.000
```

Output
- formation enthalpy at 0 K (meV/atom) = 581
- Fermi-level density of states (states/eV/atom) = 0.701
- E (eV per cell) = -16.55


# 3
The following is a PBE calculation of In2GaTe after structural relaxation, from the Alexandria database.

```
8
Lattice="-3.317 3.317 6.361 3.317 -3.317 6.361 3.317 3.317 -6.361" Properties=species:S:1:pos:R:3 pbc="T T T"
In 4.976 1.432 -1.590
In 1.432 1.659 1.590
In -1.659 1.885 4.771
In 1.885 1.659 7.951
Ga 0.000 0.000 0.000
Ga 0.000 3.317 3.181
Te 3.317 0.000 3.181
Te 0.000 0.000 6.361
```

Output
- E_form (uncorrected) (kJ/mol of formula units) = -15.2
- Fermi-level density of states (states/eV/atom) = 0.694
- E (eV per cell) = -23.61


# 4
The following is a PBE calculation of InGa2Te after structural relaxation, from the Alexandria database.

```
4
Lattice="4.834 0.000 0.000 0.000 4.834 0.000 0.000 0.000 4.391" Properties=species:S:1:pos:R:3 pbc="T T T"
In 0.000 0.000 0.000
Ga 0.000 2.417 2.196
Ga 2.417 0.000 2.196
Te 2.417 2.417 0.000
```

Output
- E_form (uncorrected) (kJ/mol of formula units) = -7.1
- Fermi-level density of states (states/eV/atom) = 0.331
- E (eV per cell) = -12.01


# 5
The following is a PBE calculation of In5Ga3Te12 after structural relaxation, from the Alexandria database.

```
80
Lattice="-8.841 8.841 8.841 8.841 -8.841 8.841 8.841 8.841 -8.841" Properties=species:S:1:pos:R:3 pbc="T T T"
In 0.000 0.000 0.000
In 4.421 4.421 -4.421
In 4.421 -4.421 4.421
In 8.841 0.000 0.000
In 13.262 2.210 0.000
In 8.841 -4.421 6.631
In 6.631 8.841 -4.421
In 6.631 0.000 4.421
In 4.421 6.631 0.000
In 8.841 4.421 2.210
In -4.421 4.421 4.421
In 0.000 8.841 0.000
In 0.000 0.000 8.841
In 4.421 4.421 4.421
In 0.000 4.421 6.631
In 4.421 2.210 8.841
In 2.210 8.841 4.421
In 2.210 0.000 13.262
In 0.000 13.262 2.210
In -4.421 6.631 8.841
Ga 4.421 2.210 0.000
Ga 8.841 4.421 -2.210
Ga 2.210 0.000 4.421
Ga 11.052 0.000 4.421
Ga 0.000 4.421 2.210
Ga 4.421 -2.210 8.841
Ga 4.421 11.052 0.000
Ga 8.841 4.421 6.631
Ga -2.210 8.841 4.421
Ga 6.631 8.841 4.421
Ga 0.000 4.421 11.052
Ga 4.421 6.631 8.841
Te 2.678 -0.397 1.280
Te 10.584 5.700 -4.817
Te 8.445 -1.280 2.678
Te 13.659 -1.743 3.141
Te 11.519 0.397 1.280
Te 10.584 -3.141 4.817
Te 1.280 2.678 -0.397
Te 11.982 4.024 -1.743
Te 5.700 4.817 -1.743
Te 7.562 2.678 0.397
Te -0.397 1.280 2.678
Te 4.817 -1.743 5.700
Te 8.445 7.562 -2.678
Te 4.817 1.743 3.141
Te 7.562 -2.678 8.445
Te 5.700 -4.817 10.584
Te 3.141 4.817 1.743
Te 10.121 6.164 0.397
Te 2.678 8.445 -1.280
Te 10.584 3.141 4.024
Te 4.817 10.584 -3.141
Te 8.445 1.280 6.164
Te 1.743 3.141 4.817
Te 2.678 0.397 7.562
Te 6.164 8.445 1.280
Te 7.098 5.700 4.024
Te 0.397 7.562 2.678
Te 4.024 -1.743 11.982
Te -1.743 5.700 4.817
Te 6.164 0.397 10.121
Te -1.280 2.678 8.445
Te 5.700 4.024 7.098
Te 3.141 13.659 -1.743
Te 1.280 11.519 0.397
Te 4.024 7.098 5.700
Te 0.397 1.280 11.519
Te 4.024 10.584 3.141
Te 9.238 7.562 6.164
Te 1.280 6.164 8.445
Te 3.141 4.024 10.584
Te -3.141 4.817 10.584
Te 7.562 6.164 9.238
Te -1.743 11.982 4.024
Te -2.678 8.445 7.562
Te -4.817 10.584 5.700
Te 0.397 10.121 6.164
Te -1.743 3.141 13.659
Te 6.164 9.238 7.562
```

Output
- E_form (uncorrected) (kJ/mol of formula units) = -9.6
- Fermi-level density of states (states/eV/atom) = 0.863
- E (eV per cell) = -242.29


# 6
The following is a PBE calculation of In3GaTe after structural relaxation, from the Alexandria database.

```
5
Lattice="5.987 0.000 0.000 0.000 5.987 0.000 0.000 0.000 5.987" Properties=species:S:1:pos:R:3 pbc="T T T"
In 0.000 0.000 2.993
In 0.000 2.993 0.000
In 2.993 0.000 0.000
Ga 2.993 2.993 2.993
Te 0.000 0.000 0.000
```

Output
- E_form (uncorrected) (kJ/mol of formula units) = 277.5
- Fermi-level density of states (states/eV/atom) = 0.921
- E (eV per cell) = -11.51


# 7
The following is a PBE calculation of In2GaTe4 after structural relaxation, from the Alexandria database.

```
7
Lattice="-3.438 3.438 5.669 3.438 -3.438 5.669 3.438 3.438 -5.669" Properties=species:S:1:pos:R:3 pbc="T T T"
In 3.438 0.000 2.834
In 0.000 3.438 2.834
Ga 0.000 0.000 0.000
Te 1.754 -1.754 4.470
Te 1.684 1.684 1.199
Te -1.754 1.754 4.470
Te 1.754 1.754 6.867
```

Output
- E_form (uncorrected) (kJ/mol of formula units) = -178.9
- Fermi-level density of states (states/eV/atom) = 0.460
- E (eV per cell) = -22.93


# 8
The following is a PBE calculation of In6GaTe8 after structural relaxation, from the Alexandria database.

```
15
Lattice="5.929 3.423 4.616 -5.929 3.423 4.616 0.000 -6.846 4.616" Properties=species:S:1:pos:R:3 pbc="T T T"
In -1.251 -1.917 5.102
In -1.034 2.042 5.102
In -2.285 0.125 8.746
In 2.285 -0.125 5.102
In 1.034 -2.042 8.746
In 1.251 1.917 8.746
Ga 0.000 0.000 0.000
Te -3.405 0.406 5.886
Te 0.000 0.000 3.214
Te -2.054 -2.746 7.962
Te 1.352 -3.152 5.886
Te -1.352 3.152 7.962
Te 2.054 2.746 5.886
Te 0.000 0.000 10.634
Te 3.405 -0.406 7.962
```

Output
- E_form (uncorrected) (kJ/mol of formula units) = -172.2
- Fermi-level density of states (states/eV/atom) = 0.454
- E (eV per cell) = -46.38


# 9
The following is a PBE calculation of InGa2Te after structural relaxation, from the Alexandria database.

```
8
Lattice="-3.225 3.225 6.158 3.225 -3.225 6.158 3.225 3.225 -6.158" Properties=species:S:1:pos:R:3 pbc="T T T"
In 0.000 0.000 0.000
In 0.000 3.225 3.079
Ga 4.837 1.550 -1.540
Ga 1.550 1.612 1.540
Ga -1.612 1.674 4.619
Ga 1.674 1.612 7.698
Te 3.225 0.000 3.079
Te 0.000 0.000 6.158
```

Output
- E_form (uncorrected) (kJ/mol of formula units) = -7.6
- Fermi-level density of states (states/eV/atom) = 0.432
- E (eV per cell) = -24.02


# 10
The following is a PBE calculation of In2Ga2Te after structural relaxation, from the Alexandria database.

```
5
Lattice="-1.968 1.968 8.397 1.968 -1.968 8.397 1.968 1.968 -8.397" Properties=species:S:1:pos:R:3 pbc="T T T"
In 0.000 0.000 1.672
In 0.000 0.000 15.122
Ga 1.968 0.000 4.198
Ga 0.000 1.968 4.198
Te 0.000 0.000 8.397
```

Output
- E_form (uncorrected) (kJ/mol of formula units) = -4.6
- Fermi-level density of states (states/eV/atom) = 0.517
- E (eV per cell) = -14.72


# 11
The following is a PBE calculation of In2GaTe after structural relaxation, from the Alexandria database.

```
4
Lattice="3.950 0.000 0.000 0.000 3.950 0.000 0.000 0.000 7.000" Properties=species:S:1:pos:R:3 pbc="T T T"
In 0.000 0.000 1.726
In 0.000 0.000 5.274
Ga 1.975 1.975 0.000
Te 1.975 1.975 3.500
```

Output
- E_form (uncorrected) (kJ/mol of formula units) = -17.2
- Fermi-level density of states (states/eV/atom) = 0.172
- E (eV per cell) = -11.82


# 12
The following is a PBE calculation of In2GaTe6 after structural relaxation, from the Alexandria database.

```
18
Lattice="5.967 -8.685 0.000 5.967 8.685 0.000 -1.875 0.000 7.536" Properties=species:S:1:pos:R:3 pbc="T T T"
In 1.738 2.570 3.583
In 0.801 -2.570 7.351
In 9.258 2.570 0.185
In 8.321 -2.570 3.953
Ga 4.561 2.585 5.652
Ga 5.498 -2.585 1.884
Te 0.807 1.116 1.340
Te -0.130 -1.116 5.108
Te 4.243 4.015 3.371
Te 2.255 1.269 6.005
Te 6.753 4.015 0.397
Te 3.192 -1.269 2.237
Te 6.867 1.269 5.299
Te 3.306 -4.015 7.139
Te 7.805 -1.269 1.531
Te 5.816 -4.015 4.165
Te 10.189 1.116 2.428
Te 9.252 -1.116 6.196
```

Output
- E_form (uncorrected) (kJ/mol of formula units) = -132.8
- Fermi-level density of states (states/eV/atom) = 0.697
- E (eV per cell) = -57.46


# 13
The following is a PBE calculation of In2GaTe after structural relaxation, from the Alexandria database.

```
4
Lattice="2.027 1.170 9.893 -2.027 1.170 9.893 0.000 -2.340 9.893" Properties=species:S:1:pos:R:3 pbc="T T T"
In 0.000 0.000 2.937
In 0.000 0.000 26.741
Ga 0.000 0.000 0.000
Te 0.000 0.000 14.839
```

Output
- E_form (uncorrected) (kJ/mol of formula units) = 55.8
- Fermi-level density of states (states/eV/atom) = 0.433
- E (eV per cell) = -11.07


# 14
The following is a PBE calculation of In3GaTe after structural relaxation, from the Alexandria database.

```
5
Lattice="5.357 0.000 0.000 0.000 5.357 0.000 0.000 0.000 5.357" Properties=species:S:1:pos:R:3 pbc="T T T"
In 0.000 0.000 2.679
In 0.000 2.679 0.000
In 2.679 0.000 0.000
Ga 0.000 0.000 0.000
Te 2.679 2.679 2.679
```

Output
- E_form (uncorrected) (kJ/mol of formula units) = 30.1
- Fermi-level density of states (states/eV/atom) = 0.293
- E (eV per cell) = -14.07


# 15
The following is a PBE calculation of InGaTe3 after structural relaxation, from the Alexandria database.

```
5
Lattice="5.715 0.000 0.000 0.000 5.715 0.000 0.000 0.000 5.715" Properties=species:S:1:pos:R:3 pbc="T T T"
In 0.000 0.000 0.000
Ga 2.858 2.858 2.858
Te 0.000 0.000 2.858
Te 0.000 2.858 0.000
Te 2.858 0.000 0.000
```

Output
- E_form (uncorrected) (kJ/mol of formula units) = 153.3
- Fermi-level density of states (states/eV/atom) = 0.987
- E (eV per cell) = -13.60


# 16
The following is a PBE calculation of In2GaTe after structural relaxation, from the Alexandria database.

```
4
Lattice="0.000 3.793 3.793 3.793 0.000 3.793 3.793 3.793 0.000" Properties=species:S:1:pos:R:3 pbc="T T T"
In 1.896 1.896 1.896
In 5.689 5.689 5.689
Ga 0.000 0.000 0.000
Te 3.793 3.793 3.793
```

Output
- E_form (uncorrected) (kJ/mol of formula units) = 25.6
- Fermi-level density of states (states/eV/atom) = 1.221
- E (eV per cell) = -11.38


# 17
The following is a PBE calculation of In3Ga3Te after structural relaxation, from the Alexandria database.

```
14
Lattice="7.704 0.000 0.000 0.000 7.704 0.000 0.000 0.000 7.704" Properties=species:S:1:pos:R:3 pbc="T T T"
In 0.000 1.926 3.852
In 0.000 5.778 3.852
In 1.926 3.852 0.000
In 3.852 0.000 1.926
In 3.852 0.000 5.778
In 5.778 3.852 0.000
Ga 0.000 3.852 1.926
Ga 0.000 3.852 5.778
Ga 1.926 0.000 3.852
Ga 3.852 1.926 0.000
Ga 3.852 5.778 0.000
Ga 5.778 0.000 3.852
Te 0.000 0.000 0.000
Te 3.852 3.852 3.852
```

Output
- E_form (uncorrected) (kJ/mol of formula units) = 292.6
- Fermi-level density of states (states/eV/atom) = 1.010
- E (eV per cell) = -34.81


# 18
The following is a PBE calculation of InGa2Te4 after structural relaxation, from the Alexandria database.

```
7
Lattice="6.316 0.000 0.000 0.000 6.316 0.000 0.000 0.000 6.081" Properties=species:S:1:pos:R:3 pbc="T T T"
In 0.000 0.000 0.000
Ga 0.000 3.158 3.041
Ga 3.158 0.000 3.041
Te 1.748 1.748 1.471
Te 1.748 4.568 4.610
Te 4.568 1.748 4.610
Te 4.568 4.568 1.471
```

Output
- E_form (uncorrected) (kJ/mol of formula units) = -176.9
- Fermi-level density of states (states/eV/atom) = 0.441
- E (eV per cell) = -23.19


# 19
The following is a PBE calculation of InGa2Te after structural relaxation, from the Alexandria database.

```
4
Lattice="0.000 3.696 3.696 3.696 0.000 3.696 3.696 3.696 0.000" Properties=species:S:1:pos:R:3 pbc="T T T"
In 0.000 0.000 0.000
Ga 1.848 1.848 1.848
Ga 5.544 5.544 5.544
Te 3.696 3.696 3.696
```

Output
- E_form (uncorrected) (kJ/mol of formula units) = 27.3
- Fermi-level density of states (states/eV/atom) = 0.889
- E (eV per cell) = -11.65


# 20
The following is a PBE calculation of InGa2Te after structural relaxation, from the Alexandria database.

```
4
Lattice="1.956 1.129 9.441 -1.956 1.129 9.441 0.000 -2.258 9.441" Properties=species:S:1:pos:R:3 pbc="T T T"
In 0.000 0.000 0.000
Ga 0.000 0.000 2.905
Ga 0.000 0.000 25.417
Te 0.000 0.000 14.161
```

Output
- E_form (uncorrected) (kJ/mol of formula units) = 36.4
- Fermi-level density of states (states/eV/atom) = 0.320
- E (eV per cell) = -11.56


# 21
The following is a PBE calculation of InGa2Te after structural relaxation, from the Alexandria database.

```
4
Lattice="3.822 0.000 0.000 0.000 3.822 0.000 0.000 0.000 6.898" Properties=species:S:1:pos:R:3 pbc="T T T"
In 0.000 0.000 0.000
Ga 1.911 1.911 1.827
Ga 1.911 1.911 5.071
Te 0.000 0.000 3.449
```

Output
- E_form (uncorrected) (kJ/mol of formula units) = -6.2
- Fermi-level density of states (states/eV/atom) = 0.240
- E (eV per cell) = -12.00


# 22
The following is a PBE calculation of InGa2Te4 after structural relaxation, from the Alexandria database.

```
7
Lattice="-3.202 3.202 5.991 3.202 -3.202 5.991 3.202 3.202 -5.991" Properties=species:S:1:pos:R:3 pbc="T T T"
In 0.000 0.000 0.000
Ga 3.202 0.000 2.996
Ga 0.000 3.202 2.996
Te 1.463 -1.463 4.544
Te 1.739 1.739 1.447
Te -1.463 1.463 4.544
Te 1.463 1.463 7.438
```

Output
- E_form (uncorrected) (kJ/mol of formula units) = -174.3
- Fermi-level density of states (states/eV/atom) = 0.484
- E (eV per cell) = -23.17